Record 1
26
Lattice="-0.225 3.646 2.069 0.891 -2.751 4.946 11.293 1.408 -1.252" Properties=species:S:1:pos:R:3 comment="Th2B10Rh | Alexandria | PBE-GGA | optimized geometry" total_energy_ev_per_atom=-7.454 formation_energy_kj_per_mol_atoms=-58.88 dos_ef_per_ev_cell=6.219 pbc="T T T"
B 2.225 0.122 0.027
Th 2.055 0.083 4.336
B 10.578 0.189 3.391
B 1.382 2.113 2.371
Th 4.172 1.778 1.579
B 8.000 0.606 -0.197
Rh 6.092 -0.672 1.847
B 8.221 -0.251 1.338
B 2.555 -0.721 1.549
B 4.873 -0.337 3.697
B 7.086 2.640 2.065
B 3.964 -1.092 2.356
B 4.185 -1.949 3.891
B 10.489 1.632 4.210
B 7.175 1.196 1.246
Th 9.904 2.219 1.426
B 0.829 -0.991 1.836
B 5.945 -1.784 3.791
B 9.630 -0.622 2.145
Rh 0.000 0.000 0.000
B 4.784 1.106 4.517
B 9.960 -1.466 3.667
B 1.471 0.670 1.552
B 11.356 -0.352 1.857
Th 7.787 0.524 4.183
B 6.240 0.441 -0.098

---

Record 2
4
Lattice="-1.555 3.732 0.361 -0.229 -0.484 4.023 11.061 4.495 1.171" Properties=species:S:1:pos:R:3 comment="K2LiCa | Alexandria | PBE-GGA | optimized geometry" total_energy_ev_per_atom=-1.332 polymorph_energy_mev_per_atom=88 formation_energy_kj_per_mol_atoms=18.90 dos_ef_per_ev_cell=3.517 pbc="T T T"
K 5.246 2.132 0.556
Li 1.873 2.747 2.485
Ca 7.404 4.995 3.071
K 0.284 0.116 0.030

---

Record 3
5
Lattice="5.029 0.000 0.000 0.000 5.029 0.000 0.000 0.000 5.029" Properties=species:S:1:pos:R:3 comment="Hf3PW | Alexandria | PBE-GGA | optimized geometry" total_energy_ev_per_atom=-8.571 polymorph_energy_mev_per_atom=879 formation_energy_kj_per_mol_atoms=103.61 dos_ef_per_ev_cell=8.621 pbc="T T T"
P 2.514 2.514 2.514
W 0.000 0.000 0.000
Hf 0.000 0.000 2.514
Hf 0.000 2.514 0.000
Hf 2.514 0.000 0.000

---

Record 4
4
Lattice="-2.515 2.649 3.364 -2.631 -3.825 -1.762 1.042 -1.689 2.109" Properties=species:S:1:pos:R:3 comment="TaAl3 | Alexandria | PBE-GGA | optimized geometry" total_energy_ev_per_atom=-5.907 formation_energy_kj_per_mol_atoms=-13.17 dos_ef_per_ev_cell=2.016 pbc="T T T"
Al -0.794 -2.757 0.173
Ta 0.000 0.000 0.000
Al -0.736 0.480 2.736
Al -2.573 -0.588 0.801

---

Record 5
4
Lattice="4.046 0.000 0.000 0.000 4.046 0.000 -2.023 -2.023 4.030" Properties=species:S:1:pos:R:3 comment="TmIr3 | Alexandria | PBE-GGA | optimized geometry" total_energy_ev_per_atom=-8.127 formation_energy_kj_per_mol_atoms=-35.02 dos_ef_per_ev_cell=3.638 pbc="T T T"
Ir 2.023 0.000 2.015
Tm 0.000 0.000 0.000
Ir 0.000 2.023 2.015
Ir 2.023 2.023 0.000

---

Record 6
4
Lattice="-3.300 4.341 -1.548 -3.886 3.783 1.649 2.520 4.931 1.324" Properties=species:S:1:pos:R:3 comment="LiYZr2 | Alexandria | PBE-GGA | optimized geometry" total_energy_ev_per_atom=-6.183 polymorph_energy_mev_per_atom=67 formation_energy_kj_per_mol_atoms=17.90 dos_ef_per_ev_cell=3.993 pbc="T T T"
Li -2.350 6.152 0.643
Zr -3.513 10.197 1.136
Y -0.885 3.407 0.433
Zr 2.269 4.758 1.247